# 1
Pr6TlP2S3: relaxed, PBE.

Computed properties:
Formation energy without anion corrections = -1561 meV per atom
Magnetization = 0.000 μB/cell
Space group = C2/m, No. 12
Crystal system = monoclinic

Lattice parameters (Å, degrees): 4.1851 8.5221 9.4342 102.74 102.82 90.00
Closest atoms and distances in Å follow each position.
Fractional coordinates of all 12 atoms:
Pr: 0.3266 0.9061 0.6532  3 S 2.87-3.04, 2 P 2.95, 1 Tl 3.11
Pr: 0.6693 0.5781 0.3385  3 P 2.92-2.94, 3 S 3.02-3.03
Pr: 0.6734 0.0939 0.3468  3 S 2.87-3.04, 2 P 2.95, 1 Tl 3.11
Pr: 0.0019 0.2713 0.0037  3 S 2.87-3.02, 1 P 2.98, 2 Tl 3.11
Pr: 0.9981 0.7287 0.9963  3 S 2.87-3.02, 1 P 2.98, 2 Tl 3.11
Pr: 0.3307 0.4219 0.6615  3 P 2.92-2.94, 3 S 3.02-3.03
Tl: 0.5000 0.0000 0.0000  6 Pr 3.11
P: 0.8321 0.6649 0.6642  6 Pr 2.92-2.98
P: 0.1679 0.3352 0.3358  6 Pr 2.92-2.98
S: 0.5000 0.5000 0.0000  6 Pr 2.87-3.03
S: 0.8336 0.1684 0.6672  6 Pr 2.87-3.04
S: 0.1664 0.8316 0.3328  6 Pr 2.87-3.04

=====

# 2
PrYPS: relaxed, PBE.

Computed properties:
Formation energy without anion corrections = -1851 meV per atom
Magnetization = 0.000 μB/cell
Space group = R3m, No. 160
Crystal system = trigonal

Lattice parameters (Å, degrees): 4.0552 4.0552 7.0838 73.37 73.37 60.00
Closest atoms and distances in Å follow each position.
Fractional coordinates of all 4 atoms:
Pr: 0.2529 0.2529 0.2412  3 P 2.89, 3 S 2.97
Y: 0.7471 0.7471 0.7586  3 P 2.79, 3 S 2.86
P: 0.0044 0.0044 0.9868  3 Y 2.79, 3 Pr 2.89
S: 0.4955 0.4955 0.5135  3 Y 2.86, 3 Pr 2.97

=====

# 3
PrZnPS: relaxed, PBE.

Computed properties:
Formation energy without anion corrections = -1112 meV per atom
Magnetization = 0.000 μB/cell
Space group = R-3m, No. 166
Crystal system = trigonal

Lattice parameters (Å, degrees): 4.1754 4.1754 13.4544 81.07 81.07 60.00
Closest atoms and distances in Å follow each position.
Fractional coordinates of all 8 atoms:
Pr: 0.0907 0.0907 0.7278  3 S 2.73
Pr: 0.9093 0.9093 0.2722  3 S 2.73
Zn: 0.6899 0.6899 0.9302  4 P 2.50-2.51
Zn: 0.3101 0.3101 0.0698  4 P 2.50-2.51
P: 0.6267 0.6267 0.1198  4 Zn 2.50-2.51
P: 0.3733 0.3733 0.8802  4 Zn 2.50-2.51
S: 0.7896 0.7896 0.6313  3 Pr 2.73
S: 0.2104 0.2104 0.3687  3 Pr 2.73

=====

# 4
Pr6SbP4: relaxed, PBE.

Computed properties:
Formation energy without anion corrections = -1369 meV per atom
Magnetization = 1.371 μB/cell
Space group = Cmcm, No. 63
Crystal system = orthorhombic

Lattice parameters (Å, degrees): 4.2554 7.2433 21.3683 90.00 90.00 107.08
Closest atoms and distances in Å follow each position.
Fractional coordinates of all 22 atoms:
Pr: 0.5000 0.0000 0.0000  6 P 2.97-2.99
Pr: 0.5000 0.0000 0.5000  6 P 2.97-2.99
Pr: 0.0407 0.0814 0.3421  3 P 2.83-2.89
Pr: 0.9593 0.9186 0.6579  3 P 2.83-2.89
Pr: 0.9593 0.9186 0.8421  3 P 2.83-2.89
Pr: 0.0407 0.0814 0.1579  3 P 2.83-2.89
Pr: 0.7731 0.5463 0.4190  5 P 2.89-2.99
Pr: 0.2269 0.4537 0.5810  5 P 2.89-2.99
Pr: 0.2269 0.4537 0.9190  5 P 2.89-2.99
Pr: 0.7731 0.5463 0.0810  5 P 2.89-2.99
Pr: 0.3317 0.6634 0.2500  2 P 2.87, 2 Sb 3.17
Pr: 0.6683 0.3366 0.7500  2 P 2.87, 2 Sb 3.17
Sb: 0.6620 0.3240 0.2500  6 Pr 3.17-3.35
Sb: 0.3380 0.6760 0.7500  6 Pr 3.17-3.35
P: 0.8625 0.7250 0.5414  6 Pr 2.83-2.99
P: 0.4083 0.8166 0.1254  6 Pr 2.87-2.99
P: 0.1375 0.2750 0.4586  6 Pr 2.83-2.99
P: 0.5917 0.1834 0.8746  6 Pr 2.87-2.99
P: 0.8625 0.7250 0.9586  6 Pr 2.83-2.99
P: 0.1375 0.2750 0.0414  6 Pr 2.83-2.99
P: 0.5917 0.1834 0.6254  6 Pr 2.87-2.99
P: 0.4083 0.8166 0.3746  6 Pr 2.87-2.99

=====

# 5
Pr8Sb5P: relaxed, PBE.

Computed properties:
Formation energy without anion corrections = -1085 meV per atom
Magnetization = 0.000 μB/cell
Space group = I-4, No. 82
Crystal system = tetragonal

Lattice parameters (Å, degrees): 8.2176 8.2176 8.2176 109.88 108.66 109.88
Closest atoms and distances in Å follow each position.
Fractional coordinates of all 14 atoms:
Pr: 0.1299 0.7306 0.0004  1 P 2.95, 2 Sb 3.16-3.19
Pr: 0.9996 0.1295 0.7302  1 P 2.95, 2 Sb 3.16-3.19
Pr: 0.7705 0.2528 0.3784  5 Sb 3.15-3.46, 1 P 3.41
Pr: 0.6216 0.3921 0.8744  5 Sb 3.15-3.46, 1 P 3.41
Pr: 0.4823 0.6079 0.2295  5 Sb 3.15-3.46, 1 P 3.41
Pr: 0.6007 0.8705 0.8701  1 P 2.95, 2 Sb 3.16-3.19
Pr: 0.2698 0.2694 0.3993  1 P 2.95, 2 Sb 3.16-3.19
Pr: 0.1256 0.7472 0.5177  5 Sb 3.15-3.46, 1 P 3.41
Sb: 0.9927 0.3656 0.1197  8 Pr 3.16-3.51
Sb: 0.8803 0.8730 0.2458  8 Pr 3.16-3.51
Sb: 0.7542 0.6344 0.6272  8 Pr 3.16-3.51
Sb: 0.5000 0.0000 0.5000  8 Pr 3.15-3.50
Sb: 0.3728 0.1270 0.0073  8 Pr 3.16-3.51
P: 0.2500 0.5000 0.7500  4 Pr 2.95

=====

# 6
Pr7SbP5: relaxed, PBE.

Computed properties:
Formation energy without anion corrections = -1396 meV per atom
Magnetization = 1.647 μB/cell
Space group = Cmcm, No. 63
Crystal system = orthorhombic

Lattice parameters (Å, degrees): 4.2451 7.2604 24.9540 89.99 90.00 107.00
Closest atoms and distances in Å follow each position.
Fractional coordinates of all 26 atoms:
Pr: 0.4676 0.9351 0.2500  2 P 2.87, 2 Sb 3.17
Pr: 0.5330 0.0662 0.7500  2 P 2.87, 2 Sb 3.17
Pr: 0.6365 0.2731 0.0344  6 P 2.95-3.00
Pr: 0.3642 0.7282 0.9655  6 P 2.95-3.00
Pr: 0.3640 0.7279 0.5345  6 P 2.95-3.00
Pr: 0.6364 0.2729 0.4656  6 P 2.95-3.00
Pr: 0.1765 0.3530 0.1715  3 P 2.81-2.89
Pr: 0.8242 0.6483 0.8285  3 P 2.81-2.89
Pr: 0.8240 0.6479 0.6715  3 P 2.81-2.89
Pr: 0.1765 0.3531 0.3285  3 P 2.81-2.89
Pr: 0.9100 0.8199 0.1039  5 P 2.88-2.99
Pr: 0.0907 0.1814 0.8961  5 P 2.88-2.99
Pr: 0.0905 0.1810 0.6038  5 P 2.88-2.99
Pr: 0.9100 0.8199 0.3962  5 P 2.88-2.99
Sb: 0.7980 0.5961 0.2500  6 Pr 3.17-3.35
Sb: 0.2026 0.4052 0.7500  6 Pr 3.17-3.35
P: 0.0003 0.0006 0.0000  6 Pr 2.88-2.97
P: 0.7278 0.4557 0.9276  6 Pr 2.81-3.00
P: 0.2728 0.5456 0.0724  6 Pr 2.81-3.00
P: 0.5445 0.0890 0.3568  6 Pr 2.87-3.00
P: 0.4560 0.9120 0.6432  6 Pr 2.87-3.00
P: 0.0002 0.0004 0.5000  6 Pr 2.88-2.97
P: 0.2728 0.5455 0.4276  6 Pr 2.81-3.00
P: 0.7277 0.4553 0.5724  6 Pr 2.81-3.00
P: 0.4562 0.9125 0.8568  6 Pr 2.87-3.00
P: 0.5445 0.0889 0.1432  6 Pr 2.87-3.00

=====

# 7
Pr4SbP2: relaxed, PBE.

Computed properties:
Formation energy without anion corrections = -1241 meV per atom
Magnetization = 1.210 μB/cell
Space group = Cmcm, No. 63
Crystal system = orthorhombic

Lattice parameters (Å, degrees): 4.2847 7.2446 14.0746 90.00 90.00 107.20
Closest atoms and distances in Å follow each position.
Fractional coordinates of all 14 atoms:
Pr: 0.7670 0.5340 0.1159  3 P 2.83-2.91
Pr: 0.7670 0.5340 0.3841  3 P 2.83-2.91
Pr: 0.2330 0.4660 0.8841  3 P 2.83-2.91
Pr: 0.2330 0.4660 0.6159  3 P 2.83-2.91
Pr: 0.9408 0.8817 0.7500  2 P 2.86, 2 Sb 3.14
Pr: 0.0592 0.1183 0.2500  2 P 2.86, 2 Sb 3.14
Pr: 0.5000 0.0000 0.0000  4 P 2.98
Pr: 0.5000 0.0000 0.5000  4 P 2.98
Sb: 0.6071 0.2143 0.7500  6 Pr 3.14-3.34
Sb: 0.3929 0.7857 0.2500  6 Pr 3.14-3.34
P: 0.1358 0.2716 0.4390  6 Pr 2.83-2.98
P: 0.8642 0.7284 0.9390  6 Pr 2.83-2.98
P: 0.1358 0.2716 0.0610  6 Pr 2.83-2.98
P: 0.8642 0.7284 0.5610  6 Pr 2.83-2.98

=====

# 8
Pr5SbP4: relaxed, PBE.

Computed properties:
Formation energy without anion corrections = -1424 meV per atom
Magnetization = 0.000 μB/cell
Space group = C2/m, No. 12
Crystal system = monoclinic

Lattice parameters (Å, degrees): 4.2597 7.4083 9.5768 75.32 77.15 73.29
Closest atoms and distances in Å follow each position.
Fractional coordinates of all 10 atoms:
Pr: 0.2053 0.9016 0.6877  5 P 2.93-3.01, 1 Sb 3.13
Pr: 0.7947 0.0984 0.3123  5 P 2.93-3.01, 1 Sb 3.13
Pr: 0.3921 0.3251 0.8906  4 P 2.94-3.06, 2 Sb 3.15
Pr: 0.0000 0.5000 0.5000  6 P 3.01
Pr: 0.6079 0.6749 0.1094  4 P 2.94-3.06, 2 Sb 3.15
Sb: 0.0000 0.0000 0.0000  6 Pr 3.13-3.15
P: 0.5980 0.2036 0.6003  6 Pr 2.93-3.01
P: 0.2018 0.3919 0.2046  6 Pr 2.94-3.06
P: 0.7982 0.6081 0.7954  6 Pr 2.94-3.06
P: 0.4020 0.7964 0.3997  6 Pr 2.93-3.01

=====

# 9
Pr6SbP5: relaxed, PBE.

Computed properties:
Formation energy without anion corrections = -1435 meV per atom
Magnetization = 0.000 μB/cell
Space group = C2/m, No. 12
Crystal system = monoclinic

Lattice parameters (Å, degrees): 7.3881 7.3881 7.3808 99.62 99.62 119.95
Closest atoms and distances in Å follow each position.
Fractional coordinates of all 12 atoms:
Pr: 0.4328 0.0856 0.2565  5 P 2.93-3.04, 1 Sb 3.13
Pr: 0.9144 0.5672 0.7435  5 P 2.93-3.04, 1 Sb 3.13
Pr: 0.2609 0.2609 0.7427  5 P 2.91-3.01, 1 Sb 3.13
Pr: 0.7391 0.7391 0.2573  5 P 2.91-3.01, 1 Sb 3.13
Pr: 0.0856 0.4328 0.2565  5 P 2.93-3.04, 1 Sb 3.13
Pr: 0.5672 0.9144 0.7435  5 P 2.93-3.04, 1 Sb 3.13
Sb: 0.0000 0.0000 0.0000  6 Pr 3.13
P: 0.8360 0.1640 0.5000  6 Pr 2.93-3.04
P: 0.6667 0.3333 0.0000  6 Pr 3.00-3.01
P: 0.5000 0.5000 0.5000  6 Pr 2.91-3.03
P: 0.3333 0.6667 0.0000  6 Pr 3.00-3.01
P: 0.1640 0.8360 0.5000  6 Pr 2.93-3.04

=====

# 10
Pr2SbP: relaxed, PBE.

Computed properties:
Formation energy without anion corrections = -1326 meV per atom
Magnetization = 0.000 μB/cell
Space group = R-3m, No. 166
Crystal system = trigonal
Excess energy over the best structure of this formula in the dataset = 0.000 eV per atom

Lattice parameters (Å, degrees): 4.3503 4.3503 7.6657 73.52 73.52 60.00
Closest atoms and distances in Å follow each position.
Fractional coordinates of all 4 atoms:
Pr: 0.7424 0.7424 0.7727  3 P 3.00, 3 Sb 3.19
Pr: 0.2576 0.2576 0.2273  3 P 3.00, 3 Sb 3.19
Sb: 0.5000 0.5000 0.5000  6 Pr 3.19
P: 0.0000 0.0000 0.0000  6 Pr 3.00